CaCu11Ni: optimized geometry, PBE-GGA.

Uncorrected energy   -4.111 eV/atom
Fermi-level density of states   4.6 states/eV per cell
Volume   13.36 Å³ per atom
ΔH_f (0 K)   -0.046 eV per atom
Total moment   0.00 Bohr magnetons per cell

a = 6.4493 Å, b = 6.4493 Å, c = 6.4499 Å
α = 97.64°, β = 97.64°, γ = 136.15°
Last column: nearest neighbours and their distance in Å.
Fractional positions:
Ca 0.0000 0.0000 0.0000  18 Cu 3.02-3.27, 2 Ni 3.22
Cu 0.0000 0.5000 0.0000  10 Cu 2.41-2.62
Cu 0.0079 0.6546 0.6432  8 Cu 2.46-2.68, 1 Ni 2.55
Cu 0.2735 0.4983 0.7732  8 Cu 2.43-2.69, 1 Ni 2.46
Cu 0.3454 0.9921 0.3568  8 Cu 2.46-2.68, 1 Ni 2.55
Cu 0.4983 0.2735 0.7732  8 Cu 2.43-2.69, 1 Ni 2.46
Cu 0.5000 0.0000 0.0000  10 Cu 2.41-2.62
Cu 0.5000 0.5000 0.5000  2 Ni 2.41, 8 Cu 2.43-2.61
Cu 0.5017 0.7265 0.2268  8 Cu 2.43-2.69, 1 Ni 2.46
Cu 0.6546 0.0079 0.6432  8 Cu 2.46-2.68, 1 Ni 2.55
Cu 0.7265 0.5017 0.2268  8 Cu 2.43-2.69, 1 Ni 2.46
Cu 0.9921 0.3454 0.3568  8 Cu 2.46-2.68, 1 Ni 2.55
Ni 0.0000 0.0000 0.5000  10 Cu 2.41-2.55